Run i
The following is a DFT calculation (GGA-PBEsol) of a relaxed structure of Ta5Tc.

Lattice parameters (Å, degrees): 3.224 4.619 7.001 90.00 103.31 90.00
Positions (direct):
Tc  0.000  0.500  0.000
Ta  0.168  0.000  0.336
Ta  0.832  0.000  0.664
Ta  0.500  0.000  0.000
Ta  0.661  0.500  0.322
Ta  0.339  0.500  0.678

## Properties
Its crystal system is orthorhombic. The value obtained for the spin magnetization is 0.00 μB per cell.

***

Run ii
The following is a DFT calculation (GGA-PBEsol) of a relaxed structure of Ta5Tc.

Lattice parameters (Å, degrees): 3.204 5.386 6.512 107.98 90.00 107.31
Positions (direct):
Tc  0.000  0.000  0.000
Ta  0.660  0.321  0.838
Ta  0.336  0.671  0.675
Ta  0.000  0.000  0.500
Ta  0.664  0.329  0.325
Ta  0.340  0.679  0.162

## Properties
Its crystal system is monoclinic. The value obtained for the spin magnetization is 0.00 μB per cell.

***

Most stable: run ii. Least stable: run i.

***

Run i
The following is a DFT calculation (GGA-PBEsol) of a relaxed structure of TaTlTc2.

Lattice parameters (Å, degrees): 4.545 4.545 4.545 60.00 60.00 60.00
Positions (direct):
Ta  0.500  0.500  0.500
Tc  0.000  0.000  0.000
Tc  0.750  0.750  0.750
Tl  0.250  0.250  0.250

## Properties
Its crystal system is cubic. The value obtained for the spin magnetization is 0.01 μB per cell.

***

Run ii
The following is a DFT calculation (GGA-PBEsol) of a relaxed structure of TaTlTc2.

Lattice parameters (Å, degrees): 3.053 4.809 4.992 103.89 90.00 108.50
Positions (direct):
Ta  0.500  0.000  0.000
Tc  0.765  0.530  0.779
Tc  0.235  0.470  0.221
Tl  0.000  0.000  0.500

## Properties
Its crystal system is monoclinic. The value obtained for the spin magnetization is 0.00 μB per cell.

***

Most stable: run ii. Least stable: run i.

***

Run i
The following is a DFT calculation (GGA-PBEsol) of a relaxed structure of TaTl2Tc.

Lattice parameters (Å, degrees): 4.167 4.167 5.195 113.65 113.65 90.00
Positions (direct):
Ta  0.500  0.500  0.000
Tc  0.250  0.750  0.500
Tl  0.000  0.000  0.000
Tl  0.750  0.250  0.500

## Properties
Its crystal system is tetragonal. The value obtained for the spin magnetization is 0.00 μB per cell.

***

Run ii
The following is a DFT calculation (GGA-PBEsol) of a relaxed structure of TaTl2Tc.

Lattice parameters (Å, degrees): 3.202 4.964 5.603 116.29 106.60 90.00
Positions (direct):
Ta  0.500  0.000  0.000
Tc  0.000  0.500  0.000
Tl  0.740  0.740  0.480
Tl  0.260  0.260  0.520

## Properties
Its crystal system is orthorhombic. The value obtained for the spin magnetization is 0.00 μB per cell.

***

Most stable: run ii. Least stable: run i.